DFT (GGA-PBE) results for a relaxed Sm3Ga2Ir crystal.

Unit cell a=12.1258 b=4.2872 c=11.5893 alpha=90.00 beta=90.00 gamma=90.00
Space group Pnma (No. 62)
Inequivalent atoms, fractional coordinates:
Sm1 0.0488 0.2500 0.1264 x4
Sm2 0.1153 0.7500 0.5549 x4
Sm3 0.2306 0.2500 0.7969 x4
Ga1 0.0107 0.7500 0.3044 x4
Ga2 0.1926 0.7500 0.0026 x4
Ir1 0.1264 0.2500 0.3778 x4

Output
As for the formation energy: -0.647 eV per atom. The value obtained for the density of states at the Fermi level is 24.90 states/eV/cell.